# Tb3Dy9Er2

A geometry-optimized Tb3Dy9Er2 structure (PBE, Alexandria).

Geometry as CIF:
```
data_Tb3Dy9Er2
_cell_length_a 6.459
_cell_length_b 22.289
_cell_length_c 17.754
_cell_angle_alpha 13.61
_cell_angle_beta 54.35
_cell_angle_gamma 60.74
_space_group_name_H-M_alt 'P 1'
_space_group_IT_number 1
loop_
_space_group_symop_operation_xyz
'x,y,z'
loop_
_atom_site_label
_atom_site_type_symbol
_atom_site_fract_x
_atom_site_fract_y
_atom_site_fract_z
_atom_site_occupancy
Tb1 Tb 0.000 0.000 0.000 1
Tb2 Tb 0.823 0.348 0.146 1
Tb3 Tb 0.177 0.652 0.854 1
Dy1 Dy 0.000 0.500 0.500 1
Dy2 Dy 0.616 0.045 0.741 1
Dy3 Dy 0.384 0.955 0.259 1
Dy4 Dy 0.548 0.665 0.041 1
Dy5 Dy 0.452 0.335 0.959 1
Dy6 Dy 0.802 0.998 0.405 1
Dy7 Dy 0.198 0.002 0.595 1
Dy8 Dy 0.821 0.751 0.514 1
Dy9 Dy 0.179 0.249 0.486 1
Er1 Er 0.624 0.359 0.560 1
Er2 Er 0.376 0.641 0.440 1
```

Computed properties:
DFT formation energy, eV per atom: 0.1189
Space group: No. 2
Density of states at the Fermi level, states/eV per atom: 1.55

***

# TbDy2Er3

A geometry-optimized TbDy2Er3 structure (PBE, Alexandria).

Geometry as CIF:
```
data_TbDy2Er3
_cell_length_a 3.469
_cell_length_b 8.943
_cell_length_c 12.761
_cell_angle_alpha 78.23
_cell_angle_beta 82.19
_cell_angle_gamma 78.82
_space_group_name_H-M_alt 'P 1'
_space_group_IT_number 1
loop_
_space_group_symop_operation_xyz
'x,y,z'
loop_
_atom_site_label
_atom_site_type_symbol
_atom_site_fract_x
_atom_site_fract_y
_atom_site_fract_z
_atom_site_occupancy
Tb1 Tb 0.438 0.479 0.644 1
Tb2 Tb 0.562 0.521 0.356 1
Dy1 Dy 0.819 0.478 0.884 1
Dy2 Dy 0.181 0.522 0.116 1
Dy3 Dy 0.658 0.153 0.532 1
Dy4 Dy 0.342 0.847 0.468 1
Er1 Er 0.039 0.133 0.788 1
Er2 Er 0.961 0.867 0.212 1
Er3 Er 0.599 0.827 0.974 1
Er4 Er 0.401 0.173 0.026 1
Er5 Er 0.739 0.814 0.707 1
Er6 Er 0.261 0.186 0.293 1
```

Computed properties:
Relative energy among the computed polymorphs, meV/atom: 99
DFT formation energy, eV per atom: 0.1193
Space group: No. 12
Density of states at the Fermi level, states/eV per atom: 1.61